[1]
The following is a SCAN calculation of a PBEsol-optimized structure of Ba2TcPbI, from the Alexandria database.

raw formation energy: -0.34 eV/atom
space-group type: No. 123

a b c (Å): 5.8550 5.8550 5.1974
angles (deg): 90.00 90.00 90.00
Positions (direct):
Ba (0.0000, 0.5000, 0.0000)
Ba (0.5000, 0.0000, 0.0000)
Tc (0.0000, 0.0000, 0.0000)
Pb (0.0000, 0.0000, 0.5000)
I (0.5000, 0.5000, 0.5000)

---

[2]
The following is a SCAN calculation of a PBEsol-optimized structure of BaTe2PbI, from the Alexandria database.

raw formation energy: -0.77 eV/atom
space-group type: No. 123

a b c (Å): 5.8357 5.8357 5.9977
angles (deg): 90.00 90.00 90.00
Positions (direct):
Ba (0.0000, 0.0000, 0.0000)
Te (0.0000, 0.5000, 0.5000)
Te (0.5000, 0.0000, 0.5000)
Pb (0.5000, 0.5000, 0.5000)
I (0.5000, 0.5000, 0.0000)

---

[3]
The following is a SCAN calculation of a PBEsol-optimized structure of Ba3PtI, from the Alexandria database.

raw formation energy: -0.81 eV/atom
space-group type: No. 221

a b c (Å): 6.1396 6.1396 6.1396
angles (deg): 90.00 90.00 90.00
Positions (direct):
Ba (0.0000, 0.0000, 0.5000)
Ba (0.0000, 0.5000, 0.0000)
Ba (0.5000, 0.0000, 0.0000)
Pt (0.0000, 0.0000, 0.0000)
I (0.5000, 0.5000, 0.5000)

---

[4]
The following is a SCAN calculation of a PBEsol-optimized structure of Ba2ReSnI, from the Alexandria database.

raw formation energy: 1.11 eV/atom
space-group type: No. 123

a b c (Å): 6.5383 6.5383 5.8563
angles (deg): 90.00 90.00 90.00
Positions (direct):
Ba (0.0000, 0.5000, 0.0000)
Ba (0.5000, 0.0000, 0.0000)
Re (0.0000, 0.0000, 0.5000)
Sn (0.5000, 0.5000, 0.0000)
I (0.5000, 0.5000, 0.5000)

---

no.,DFT total energy (eV/atom)
1,-45.6805
2,-46.0889
3,-45.9295
4,-43.4624